No. 1
# CsLa2Co2 | Alexandria via LeMat-Bulk | GGA-PBE | optimized geometry
data_CsLa2Co2
_cell_length_a 8.7675
_cell_length_b 8.7675
_cell_length_c 3.4587
_cell_angle_alpha 90.00
_cell_angle_beta 90.00
_cell_angle_gamma 90.00
_space_group_name_H-M_alt 'P 1'
_space_group_IT_number 1
loop_
_space_group_symop_operation_xyz
'x,y,z'
loop_
_atom_site_label
_atom_site_type_symbol
_atom_site_fract_x
_atom_site_fract_y
_atom_site_fract_z
Cs1 Cs 0.0000 0.0000 0.0000
Cs2 Cs 0.5000 0.5000 0.0000
La1 La 0.1349 0.3651 0.0000
La2 La 0.3651 0.8651 0.0000
La3 La 0.6349 0.1349 0.0000
La4 La 0.8651 0.6349 0.0000
Co1 Co 0.1169 0.6169 0.5000
Co2 Co 0.3831 0.1169 0.5000
Co3 Co 0.6169 0.8831 0.5000
Co4 Co 0.8831 0.3831 0.5000
# Crystal system: tetragonal
# DFT formation energy, meV/atom: 408
# Symmetry: P4/mbm
# Density, g/cm³: 6.603
# Electronic total energy, eV for the cell shown: -45.76

=====

No. 2
# Li2SbPb | Alexandria via LeMat-Bulk | GGA-PBE | optimized geometry
data_Li2SbPb
_cell_length_a 4.0327
_cell_length_b 4.0327
_cell_length_c 5.7473
_cell_angle_alpha 90.00
_cell_angle_beta 90.00
_cell_angle_gamma 90.00
_space_group_name_H-M_alt 'P 1'
_space_group_IT_number 1
loop_
_space_group_symop_operation_xyz
'x,y,z'
loop_
_atom_site_label
_atom_site_type_symbol
_atom_site_fract_x
_atom_site_fract_y
_atom_site_fract_z
Li1 Li 0.0000 0.0000 0.0000
Li2 Li 0.5000 0.5000 0.2740
Sb1 Sb 0.5000 0.5000 0.7809
Pb1 Pb 0.0000 0.0000 0.5113
# Crystal system: tetragonal
# Uncorrected formation energy, kJ per mole of atoms: -23.3
# Symmetry: P4mm
# Density, g/cm³: 6.091
# Electronic total energy, eV for the cell shown: -12.62

=====

No. 3
# Sm3DyTl | Alexandria via LeMat-Bulk | GGA-PBE | optimized geometry
data_Sm3DyTl
_cell_length_a 9.6628
_cell_length_b 9.6628
_cell_length_c 5.7534
_cell_angle_alpha 90.00
_cell_angle_beta 90.00
_cell_angle_gamma 145.11
_space_group_name_H-M_alt 'P 1'
_space_group_IT_number 1
loop_
_space_group_symop_operation_xyz
'x,y,z'
loop_
_atom_site_label
_atom_site_type_symbol
_atom_site_fract_x
_atom_site_fract_y
_atom_site_fract_z
Sm1 Sm 0.0551 0.9449 0.7500
Sm2 Sm 0.2491 0.7509 0.7500
Sm3 Sm 0.4441 0.5559 0.7500
Sm4 Sm 0.5559 0.4441 0.2500
Sm5 Sm 0.7509 0.2491 0.2500
Sm6 Sm 0.9449 0.0551 0.2500
Dy1 Dy 0.3540 0.6460 0.2500
Dy2 Dy 0.6460 0.3540 0.7500
Tl1 Tl 0.1527 0.8473 0.2500
Tl2 Tl 0.8473 0.1527 0.7500
# Crystal system: orthorhombic
# DFT formation energy, meV/atom: -63
# Symmetry: Cmcm
# Density, g/cm³: 8.840
# Electronic total energy, eV for the cell shown: -42.88

=====

No. 4
# KAlIn2 | Alexandria via LeMat-Bulk | GGA-PBE | optimized geometry
data_KAlIn2
_cell_length_a 11.2190
_cell_length_b 11.2190
_cell_length_c 11.2190
_cell_angle_alpha 17.51
_cell_angle_beta 17.51
_cell_angle_gamma 17.51
_space_group_name_H-M_alt 'P 1'
_space_group_IT_number 1
loop_
_space_group_symop_operation_xyz
'x,y,z'
loop_
_atom_site_label
_atom_site_type_symbol
_atom_site_fract_x
_atom_site_fract_y
_atom_site_fract_z
K1 K 0.0000 0.0000 0.0000
Al1 Al 0.2446 0.2446 0.2446
In1 In 0.5060 0.5060 0.5060
In2 In 0.7599 0.7599 0.7599
# Crystal system: trigonal
# DFT formation energy, meV/atom: 185
# Symmetry: R3m
# Density, g/cm³: 4.404
# Electronic total energy, eV for the cell shown: -9.58